## A
InPF2: optimized geometry, GGA-PBE.

The density of states at the Fermi level comes out at 10.1 states/eV per cell.

It has space group Fm-3m (No. 225), with a = 6.276 Å, b = 6.276 Å, c = 6.276 Å, α = 90.00°, β = 90.00° and γ = 90.00°. The asymmetric unit holds In at (0.000, 0.000, 0.000), P at (0.000, 0.000, 0.500) and F at (0.250, 0.250, 0.250).

## B
InPF2: optimized geometry, GGA-PBE.

The density of states at the Fermi level comes out at 4.4 states/eV per cell.

It has space group R-3m (No. 166, hexagonal axes), with a = 2.9489 Å, b = 2.9489 Å, c = 24.5873 Å, α = 90.00°, β = 90.00° and γ = 120.00°. The asymmetric unit holds In at (0.0000, 0.0000, 0.0000), P at (0.0000, 0.0000, 0.5000) and F at (0.0000, 0.0000, 0.0916).

Order of stability, best first: B, A